(1)
CaPmTm2Tl4: relaxed, PBE-GGA.

Results
E_form, eV per atom: -0.35
Spin magnetization, μB/cell: 0.00

Cell lengths 5.384, 5.384, 9.394 Å; angles 73.35, 73.35, 60.00 degrees
Element x y z (fractional)
Tm: 0.252 0.252 0.245
Pm: 0.500 0.500 0.500
Tm: 0.748 0.748 0.755
Tl: 0.125 0.125 0.626
Tl: 0.375 0.375 0.876
Tl: 0.625 0.625 0.124
Ca: 0.000 0.000 0.000
Tl: 0.875 0.875 0.374

(2)
Pm3SmPb5: relaxed, PBE-GGA.

Results
E_form, eV per atom: -0.47
Spin magnetization, μB/cell: 0.00

Cell lengths 6.615, 9.732, 9.732 Å; angles 120.00, 90.00, 90.00 degrees
Element x y z (fractional)
Pb: 0.250 0.289 0.000
Pb: 0.000 0.333 0.667
Pb: 0.250 0.000 0.289
Pb: 0.750 0.289 0.289
Pm: 0.750 0.380 0.000
Pm: 0.250 0.620 0.000
Sm: 0.000 0.000 0.000
Pm: 0.250 0.380 0.380
Sm: 0.500 0.000 0.000
Pb: 0.000 0.667 0.333
Pb: 0.750 0.000 0.711
Pb: 0.250 0.711 0.711
Pm: 0.750 0.000 0.380
Pb: 0.500 0.333 0.667
Pb: 0.750 0.711 0.000
Pm: 0.250 0.000 0.620
Pb: 0.500 0.667 0.333
Pm: 0.750 0.620 0.620

(3)
La5InPb2: relaxed, PBE-GGA.

Results
E_form, eV per atom: -0.47
Spin magnetization, μB/cell: 2.29

Cell lengths 8.731, 8.731, 9.396 Å; angles 117.69, 117.69, 90.00 degrees
Element x y z (fractional)
La: 0.678 0.178 0.692
La: 0.822 0.987 0.308
La: 0.487 0.322 0.308
La: 0.987 0.487 0.308
La: 0.500 0.500 0.000
In: 0.250 0.250 0.500
Pb: 0.366 0.866 0.000
Pb: 0.866 0.634 0.000
La: 0.013 0.513 0.692
In: 0.750 0.750 0.500
La: 0.178 0.013 0.692
La: 0.000 0.000 0.000
La: 0.513 0.678 0.692
Pb: 0.134 0.366 0.000
La: 0.322 0.822 0.308
Pb: 0.634 0.134 0.000